DFT (PBE) results for Na3VSe4 after structural relaxation.

```
Na3VSe4
1.0
6.1444 0.0000 0.0000
0.0000 6.1772 0.0000
0.0000 0.0000 11.3100
Na Se V
6 8 2
direct
0.5430 0.6956 0.0000
0.0944 0.7748 0.2493
0.5944 0.2252 0.2507
0.0430 0.3044 0.5000
0.5944 0.2252 0.7493
0.0944 0.7748 0.7507
0.0325 0.7748 0.0000
0.5953 0.1897 0.0000
0.0944 0.2759 0.1793
0.5944 0.7241 0.3207
0.0953 0.8103 0.5000
0.5325 0.2252 0.5000
0.5944 0.7241 0.6793
0.0944 0.2759 0.8207
0.9668 0.1419 0.0000
0.4668 0.8581 0.5000
```

Calculated values
crystal system = orthorhombic
raw formation energy = -7.0 eV/f.u.
theoretical density = 3.371 Mg/m³
E_tot = -68.12 eV per cell
space-group type = Pmn2_1